PmDy3Co8 | GGA-PBE | relaxed

Properties
SG: R3m
Formation energy (eV per atom): -0.17

Unit cell a=8.8200 b=8.8200 c=8.8200 alpha=33.52 beta=33.52 gamma=33.52
Positions (direct):
Pm  0.0000  0.0000  0.0000
Dy  0.3750  0.3750  0.3750
Dy  0.4997  0.4997  0.4997
Dy  0.8748  0.8748  0.8748
Co  0.1873  0.1873  0.1873
Co  0.4371  0.4371  0.9347
Co  0.4371  0.9347  0.4371
Co  0.4410  0.9371  0.9371
Co  0.6877  0.6877  0.6877
Co  0.9347  0.4371  0.4371
Co  0.9371  0.4410  0.9371
Co  0.9371  0.9371  0.4410